Density functional theory data (PBE-GGA) for crystalline Co2RhAu at its relaxed geometry.

a b c (Å): 8.8099 8.8099 8.8099
angles (deg): 17.80 17.80 17.80
Positions (direct):
Co  0.2454  0.2454  0.2454
Co  0.7546  0.7546  0.7546
Rh  0.5000  0.5000  0.5000
Au  0.0000  0.0000  0.0000

Summary:
DOS(E_F) (states/eV/cell): 4.36
Calculated total energy (eV per atom): -5.999
ΔH_f (0 K) (eV/atom): 0.211

---

Density functional theory data (PBE-GGA) for crystalline Tm4HfP5 at its relaxed geometry.

a b c (Å): 6.7324 6.7324 6.7324
angles (deg): 99.62 99.62 131.74
Positions (direct):
Tm  0.0973  0.6994  0.7967
Tm  0.3006  0.0973  0.3978
Tm  0.6994  0.9027  0.6022
Tm  0.9027  0.3006  0.2033
Hf  0.5000  0.5000  0.0000
P  0.0000  0.0000  0.0000
P  0.2089  0.4025  0.6114
P  0.4025  0.7911  0.1936
P  0.5975  0.2089  0.8064
P  0.7911  0.5975  0.3886

Summary:
DOS(E_F) (states/eV/cell): 2.12
Calculated total energy (eV per atom): -7.033
ΔH_f (0 K) (eV/atom): -1.544

---

Density functional theory data (PBE-GGA) for crystalline Gd2HgAs at its relaxed geometry.

a b c (Å): 8.0221 8.0221 8.0221
angles (deg): 29.35 29.35 29.35
Positions (direct):
Gd  0.2397  0.2397  0.2397
Gd  0.7603  0.7603  0.7603
Hg  0.0000  0.0000  0.0000
As  0.5000  0.5000  0.5000

Summary:
DOS(E_F) (states/eV/cell): 2.94
Calculated total energy (eV per atom): -9.210
ΔH_f (0 K) (eV/atom): -0.932

---

Density functional theory data (PBE-GGA) for crystalline CaLaTlIn at its relaxed geometry.

a b c (Å): 5.5563 5.5563 5.5563
angles (deg): 60.00 60.00 60.00
Positions (direct):
Ca  0.0000  0.0000  0.0000
La  0.5000  0.5000  0.5000
Tl  0.2500  0.2500  0.2500
In  0.7500  0.7500  0.7500

Summary:
DOS(E_F) (states/eV/cell): 3.07
Calculated total energy (eV per atom): -3.476
ΔH_f (0 K) (eV/atom): -0.468

---

Density functional theory data (PBE-GGA) for crystalline LaFePb2 at its relaxed geometry.

a b c (Å): 6.2940 6.2940 6.2940
angles (deg): 43.14 43.14 43.14
Positions (direct):
La  0.0000  0.0000  0.0000
Fe  0.5000  0.5000  0.5000
Pb  0.2240  0.2240  0.2240
Pb  0.7760  0.7760  0.7760

Summary:
DOS(E_F) (states/eV/cell): 4.89
Calculated total energy (eV per atom): -5.225
ΔH_f (0 K) (eV/atom): -0.023

---

Density functional theory data (PBE-GGA) for crystalline TiTlSe2N at its relaxed geometry.

a b c (Å): 5.3625 5.3625 4.0571
angles (deg): 90.00 90.00 90.00
Positions (direct):
Ti  0.0000  0.0000  0.0000
Tl  0.5000  0.5000  0.5000
Se  0.0000  0.5000  0.5000
Se  0.5000  0.0000  0.5000
N  0.5000  0.5000  0.0000

Summary:
DOS(E_F) (states/eV/cell): 10.95
Calculated total energy (eV per atom): -3.873

---

Density functional theory data (PBE-GGA) for crystalline Cu2PPb at its relaxed geometry.

a b c (Å): 3.2153 3.2153 6.8519
angles (deg): 90.00 90.00 96.23
Positions (direct):
Cu  0.0000  0.0000  0.1802
Cu  0.0000  0.0000  0.8198
P  0.5000  0.5000  0.0000
Pb  0.5000  0.5000  0.5000

Summary:
DOS(E_F) (states/eV/cell): 1.63
Calculated total energy (eV per atom): -4.029
ΔH_f (0 K) (eV/atom): 0.299

---

Density functional theory data (PBE-GGA) for crystalline SrTl2Cu at its relaxed geometry.

a b c (Å): 3.8073 3.8073 7.5899
angles (deg): 90.00 90.00 90.00
Positions (direct):
Sr  0.0000  0.0000  0.0000
Tl  0.0000  0.0000  0.5655
Tl  0.5000  0.5000  0.2996
Cu  0.5000  0.5000  0.7371

Summary:
DOS(E_F) (states/eV/cell): 2.13
Calculated total energy (eV per atom): -2.636
ΔH_f (0 K) (eV/atom): -0.009

---

Density functional theory data (PBE-GGA) for crystalline CuMo2Pb at its relaxed geometry.

a b c (Å): 3.3452 3.3452 6.2327
angles (deg): 90.00 90.00 90.00
Positions (direct):
Cu  0.0000  0.0000  0.0000
Mo  0.0000  0.0000  0.5728
Mo  0.5000  0.5000  0.7719
Pb  0.5000  0.5000  0.2585

Summary:
DOS(E_F) (states/eV/cell): 2.76
Calculated total energy (eV per atom): -6.987
ΔH_f (0 K) (eV/atom): 0.380

---

Density functional theory data (PBE-GGA) for crystalline ReHgSCl2 at its relaxed geometry.

a b c (Å): 4.9710 4.9710 4.5343
angles (deg): 90.00 90.00 90.00
Positions (direct):
Re  0.0000  0.0000  0.0000
Hg  0.5000  0.5000  0.5000
S  0.0000  0.0000  0.5000
Cl  0.0000  0.5000  0.0000
Cl  0.5000  0.0000  0.0000

Summary:
DOS(E_F) (states/eV/cell): 2.30
Calculated total energy (eV per atom): -4.046

---

Density functional theory data (PBE-GGA) for crystalline NdY2NpO8 at its relaxed geometry.

a b c (Å): 3.9337 7.5011 5.4322
angles (deg): 90.00 94.00 90.00
Positions (direct):
Nd  0.0000  0.0000  0.0000
Y  0.5000  0.2433  0.5000
Y  0.5000  0.7567  0.5000
Np  0.0000  0.5000  0.0000
O  0.0271  0.2826  0.7610
O  0.0271  0.7174  0.7610
O  0.4560  0.5000  0.2240
O  0.4920  0.0000  0.7408
O  0.5080  0.0000  0.2592
O  0.5440  0.5000  0.7760
O  0.9729  0.2826  0.2390
O  0.9729  0.7174  0.2390

Summary:
DOS(E_F) (states/eV/cell): 1.38
Calculated total energy (eV per atom): -9.008

---

Density functional theory data (PBE-GGA) for crystalline Sc12Co6Cu at its relaxed geometry.

a b c (Å): 7.7299 7.7299 7.7299
angles (deg): 109.47 109.47 109.47
Positions (direct):
Sc  0.0979  0.8037  0.2941
Sc  0.1963  0.2941  0.4904
Sc  0.1963  0.7059  0.9021
Sc  0.2941  0.0979  0.8037
Sc  0.2941  0.4904  0.1963
Sc  0.4904  0.1963  0.2941
Sc  0.5096  0.8037  0.7059
Sc  0.7059  0.5096  0.8037
Sc  0.7059  0.9021  0.1963
Sc  0.8037  0.2941  0.0979
Sc  0.8037  0.7059  0.5096
Sc  0.9021  0.1963  0.7059
Co  0.1211  0.6211  0.5000
Co  0.3789  0.5000  0.8789
Co  0.5000  0.1211  0.6211
Co  0.5000  0.8789  0.3789
Co  0.6211  0.5000  0.1211
Co  0.8789  0.3789  0.5000
Cu  0.0000  0.0000  0.0000

Summary:
DOS(E_F) (states/eV/cell): 17.60
Calculated total energy (eV per atom): -6.696
ΔH_f (0 K) (eV/atom): -0.237

---

Density functional theory data (PBE-GGA) for crystalline BaPrRe2O8 at its relaxed geometry.

a b c (Å): 6.0393 6.0393 7.7680
angles (deg): 90.00 90.00 120.00
Positions (direct):
Ba  0.0000  0.0000  0.0000
Pr  0.0000  0.0000  0.5000
Re  0.3333  0.6667  0.7853
Re  0.6667  0.3333  0.2147
O  0.1671  0.3342  0.7082
O  0.1671  0.8329  0.7082
O  0.3333  0.6667  0.0164
O  0.3342  0.1671  0.2918
O  0.6658  0.8329  0.7082
O  0.6667  0.3333  0.9836
O  0.8329  0.1671  0.2918
O  0.8329  0.6658  0.2918

Summary:
DOS(E_F) (states/eV/cell): 8.17
Calculated total energy (eV per atom): -7.984

---

Density functional theory data (PBE-GGA) for crystalline RbBeAs2 at its relaxed geometry.

a b c (Å): 27.1270 3.6992 3.9425
angles (deg): 90.00 90.00 90.00
Positions (direct):
Rb  0.1194  0.2500  0.2006
Rb  0.3806  0.7500  0.7006
Rb  0.6194  0.2500  0.2994
Rb  0.8806  0.7500  0.7994
Be  0.2476  0.7500  0.2053
Be  0.2524  0.2500  0.7053
Be  0.7476  0.7500  0.2947
Be  0.7524  0.2500  0.7947
As  0.0096  0.2500  0.6932
As  0.1995  0.7500  0.7043
As  0.3005  0.2500  0.2043
As  0.4904  0.7500  0.1932
As  0.5096  0.2500  0.8068
As  0.6995  0.7500  0.7957
As  0.8005  0.2500  0.2957
As  0.9904  0.7500  0.3068

Summary:
DOS(E_F) (states/eV/cell): 4.57
Calculated total energy (eV per atom): -3.768
ΔH_f (0 K) (eV/atom): -0.269

---

Density functional theory data (PBE-GGA) for crystalline VCoMoPt at its relaxed geometry.

a b c (Å): 3.6512 3.8395 3.8908
angles (deg): 90.00 90.00 90.00
Positions (direct):
V  0.0000  0.0000  0.0000
Co  0.0000  0.5000  0.5000
Mo  0.5000  0.5000  0.0000
Pt  0.5000  0.0000  0.5000

Summary:
DOS(E_F) (states/eV/cell): 2.75
Calculated total energy (eV per atom): -8.543
ΔH_f (0 K) (eV/atom): -0.268

---

Density functional theory data (PBE-GGA) for crystalline NdAl2Pt6 at its relaxed geometry.

a b c (Å): 8.0077 8.0077 8.0077
angles (deg): 60.00 60.00 60.00
Positions (direct):
Nd  0.1250  0.1250  0.1250
Nd  0.8750  0.8750  0.8750
Al  0.0000  0.5000  0.5000
Al  0.5000  0.0000  0.5000
Al  0.5000  0.5000  0.0000
Al  0.5000  0.5000  0.5000
Pt  0.1262  0.1262  0.6238
Pt  0.1262  0.6238  0.1262
Pt  0.1262  0.6238  0.6238
Pt  0.3762  0.3762  0.8738
Pt  0.3762  0.8738  0.3762
Pt  0.3762  0.8738  0.8738
Pt  0.6238  0.1262  0.1262
Pt  0.6238  0.1262  0.6238
Pt  0.6238  0.6238  0.1262
Pt  0.8738  0.3762  0.3762
Pt  0.8738  0.3762  0.8738
Pt  0.8738  0.8738  0.3762

Summary:
DOS(E_F) (states/eV/cell): 3.90
Calculated total energy (eV per atom): -5.955
ΔH_f (0 K) (eV/atom): -0.567

---

Density functional theory data (PBE-GGA) for crystalline Tb2Y9Sc at its relaxed geometry.

a b c (Å): 5.0187 5.0187 15.0287
angles (deg): 90.00 90.00 90.00
Positions (direct):
Tb  0.0000  0.0000  0.1682
Tb  0.0000  0.0000  0.8318
Y  0.0000  0.5000  0.0000
Y  0.0000  0.5000  0.3378
Y  0.0000  0.5000  0.6622
Y  0.5000  0.0000  0.0000
Y  0.5000  0.0000  0.3378
Y  0.5000  0.0000  0.6622
Y  0.5000  0.5000  0.1692
Y  0.5000  0.5000  0.5000
Y  0.5000  0.5000  0.8308
Sc  0.0000  0.0000  0.5000

Summary:
DOS(E_F) (states/eV/cell): 18.26
Calculated total energy (eV per atom): -6.114
ΔH_f (0 K) (eV/atom): 0.033

---

Density functional theory data (PBE-GGA) for crystalline Ba2AlHgSe5 at its relaxed geometry.

a b c (Å): 10.4334 10.4334 12.6640
angles (deg): 90.00 90.00 156.67
Positions (direct):
Ba  0.1082  0.8918  0.5000
Ba  0.1201  0.8799  0.8820
Ba  0.8799  0.1201  0.3820
Ba  0.8918  0.1082  0.0000
Al  0.4380  0.5620  0.6569
Al  0.5620  0.4380  0.1569
Hg  0.2318  0.7682  0.2312
Hg  0.7682  0.2318  0.7312
Se  0.0347  0.9653  0.2524
Se  0.2857  0.7143  0.8780
Se  0.3224  0.6776  0.6067
Se  0.3600  0.6400  0.1907
Se  0.4855  0.5145  0.4854
Se  0.5145  0.4855  0.9854
Se  0.6400  0.3600  0.6907
Se  0.6776  0.3224  0.1067
Se  0.7143  0.2857  0.3780
Se  0.9653  0.0347  0.7524

Summary:
DOS(E_F) (states/eV/cell): 11.67
Calculated total energy (eV per atom): -3.929

---

Density functional theory data (PBE-GGA) for crystalline NiAgSe2 at its relaxed geometry.

a b c (Å): 5.8901 3.8100 13.3503
angles (deg): 90.00 90.00 90.00
Positions (direct):
Ni  0.0459  0.2500  0.1114
Ni  0.4541  0.7500  0.6114
Ni  0.5459  0.2500  0.3886
Ni  0.9541  0.7500  0.8886
Ag  0.2021  0.7500  0.3527
Ag  0.2979  0.2500  0.8527
Ag  0.7021  0.7500  0.1473
Ag  0.7979  0.2500  0.6473
Se  0.1051  0.7500  0.7136
Se  0.2077  0.7500  0.0291
Se  0.2923  0.2500  0.5291
Se  0.3949  0.2500  0.2136
Se  0.6051  0.7500  0.7864
Se  0.7077  0.7500  0.4709
Se  0.7923  0.2500  0.9709
Se  0.8949  0.2500  0.2864

Summary:
DOS(E_F) (states/eV/cell): 9.09
Calculated total energy (eV per atom): -3.951

---

Density functional theory data (PBE-GGA) for crystalline AcCeEr2Se4 at its relaxed geometry.

a b c (Å): 7.1352 4.0999 7.4997
angles (deg): 90.00 108.35 90.00
Positions (direct):
Ac  0.0000  0.0000  0.0000
Ce  0.5000  0.5000  0.0000
Er  0.0000  0.5000  0.5000
Er  0.5000  0.0000  0.5000
Se  0.2483  0.0000  0.7274
Se  0.2652  0.5000  0.2779
Se  0.7348  0.5000  0.7221
Se  0.7517  0.0000  0.2726

Summary:
DOS(E_F) (states/eV/cell): 8.43
Calculated total energy (eV per atom): -5.900

---

Density functional theory data (PBE-GGA) for crystalline Sc2GaCuCl at its relaxed geometry.

a b c (Å): 5.1101 5.1101 4.3940
angles (deg): 90.00 90.00 90.00
Positions (direct):
Sc  0.0000  0.5000  0.0000
Sc  0.5000  0.0000  0.0000
Ga  0.0000  0.0000  0.5000
Cu  0.0000  0.0000  0.0000
Cl  0.5000  0.5000  0.5000

Summary:
DOS(E_F) (states/eV/cell): 4.88
Calculated total energy (eV per atom): -4.464

---

Density functional theory data (PBE-GGA) for crystalline Li5La4 at its relaxed geometry.

a b c (Å): 8.7881 8.7881 8.7881
angles (deg): 92.35 92.35 156.66
Positions (direct):
Li  0.0000  0.0000  0.0000
Li  0.3204  0.3204  0.6408
Li  0.3204  0.6796  0.0000
Li  0.6796  0.3204  0.0000
Li  0.6796  0.6796  0.3592
La  0.0000  0.3301  0.3301
La  0.0000  0.6699  0.6699
La  0.3301  0.0000  0.3301
La  0.6699  0.0000  0.6699

Summary:
DOS(E_F) (states/eV/cell): 8.28
Calculated total energy (eV per atom): -3.112
ΔH_f (0 K) (eV/atom): 0.141

---

Density functional theory data (PBE-GGA) for crystalline Ba2CdBiSe5 at its relaxed geometry.

a b c (Å): 10.0263 10.0263 12.9395
angles (deg): 90.00 90.00 154.40
Positions (direct):
Ba  0.1059  0.8941  0.5000
Ba  0.1250  0.8750  0.1242
Ba  0.8750  0.1250  0.6242
Ba  0.8941  0.1059  0.0000
Cd  0.4390  0.5610  0.2624
Cd  0.5610  0.4390  0.7624
Bi  0.2198  0.7802  0.8370
Bi  0.7802  0.2198  0.3370
Se  0.0551  0.9449  0.8720
Se  0.2757  0.7243  0.4894
Se  0.3008  0.6992  0.1824
Se  0.3608  0.6392  0.8162
Se  0.4959  0.5041  0.5853
Se  0.5041  0.4959  0.0853
Se  0.6392  0.3608  0.3162
Se  0.6992  0.3008  0.6824
Se  0.7243  0.2757  0.9894
Se  0.9449  0.0551  0.3720

Summary:
DOS(E_F) (states/eV/cell): 15.53
Calculated total energy (eV per atom): -3.997